Entry from the Alexandria database: crystalline MnCd5 at its relaxed geometry (GGA-PBE).

For the formation energy, the calculation gives 352 meV/atom.

Geometry as POSCAR:
```
MnCd5
1.0
3.099 4.585 -0.927
-4.772 0.384 2.927
2.582 -0.870 4.324
Cd Mn
5 1
Direct
0.500 0.500 0.500 Cd
0.667 0.333 0.000 Cd
0.333 0.667 0.000 Cd
0.000 0.500 0.500 Cd
0.500 0.000 0.500 Cd
0.000 0.000 0.000 Mn
```


Entry from the Alexandria database: crystalline CaMgTc2 at its relaxed geometry (GGA-PBE).

For the formation energy, the calculation gives 552 meV/atom.

Geometry as POSCAR:
```
CaMgTc2
1.0
5.533 0.005 0.000
-2.652 4.856 0.000
0.000 0.000 2.649
Mg Ca Tc
1 1 2
Direct
0.000 0.500 0.500 Mg
0.500 0.000 0.500 Ca
0.500 0.500 0.000 Tc
0.000 0.000 0.000 Tc
```


Entry from the Alexandria database: crystalline TmZn2Sb at its relaxed geometry (GGA-PBE).

Its uncorrected formation energy is -0.39 eV/atom.

Geometry as POSCAR:
```
TmZn2Sb
1.0
-4.317 -1.189 -0.395
0.239 -2.114 3.753
-1.179 3.583 2.094
Sb Zn Tm
1 2 1
Direct
0.500 0.500 0.500 Sb
0.000 0.000 0.500 Zn
0.000 0.500 0.000 Zn
0.500 0.000 0.000 Tm
```


The records above yield DOS(E_F) values of 2.05, 3.28, 1.92 states/eV/f.u., respectively.